First-principles (PBE-GGA) data for Hf3Pt after structural relaxation, as listed in the Alexandria database.

Cell lengths 5.6345, 8.1348, 8.1348 Å; angles 83.14, 69.75, 69.75 degrees
Last column: nearest neighbours and their distance in Å.
Fractional positions:
Hf 0.5387 0.0001 0.4133  2 Pt 2.81, 6 Hf 3.02-3.11
Hf 0.1871 0.0003 0.1921  2 Pt 2.84, 3 Hf 2.93-3.10
Hf 0.8526 0.6477 0.6479  4 Pt 2.76-2.89, 2 Hf 3.06
Hf 0.5000 0.3523 0.6477  4 Pt 2.76-2.89, 2 Hf 3.06
Hf 0.3804 0.0004 0.8082  2 Pt 2.85, 4 Hf 2.93-3.19
Hf 0.8129 0.8079 0.9997  2 Pt 2.84, 3 Hf 2.93-3.10
Hf 0.4613 0.5867 0.0000  2 Pt 2.81, 6 Hf 3.02-3.11
Hf 0.9517 0.0001 0.5872  2 Pt 2.80-2.81, 6 Hf 3.02-3.11
Hf 0.0483 0.4128 0.9999  2 Pt 2.80-2.81, 6 Hf 3.02-3.11
Hf 0.5000 0.6478 0.3522  4 Pt 2.76-2.89, 2 Hf 3.06
Hf 0.1474 0.3522 0.3523  4 Pt 2.76-2.89, 2 Hf 3.06
Hf 0.6196 0.1918 0.9996  2 Pt 2.85, 4 Hf 2.93-3.19
Pt 0.7077 0.2918 0.2917  8 Hf 2.76-2.89
Pt 0.0000 0.7084 0.2916  8 Hf 2.76-2.89
Pt 0.0000 0.2917 0.7083  8 Hf 2.76-2.89
Pt 0.2923 0.7083 0.7082  8 Hf 2.76-2.89

Summary:
Magnetic moment: 0.00 μB per formula unit
Formation energy: -590 meV per atom